## HoSi2Os (PBE)

Data for a relaxed structure of HoSi2Os.

For the theoretical density, the calculation gives 9.794 g/cm3. The density of states at the Fermi level comes out at 0.38 states/eV/atom. The formation energy (no corrections) comes out at -2.79 eV/f.u.

It has space group Pnma (No. 62), with a = 6.930 Å, b = 4.070 Å, c = 9.890 Å, α = 90.00°, β = 90.00° and γ = 90.00°. The asymmetric unit holds Ho at (0.155, 0.250, 0.127), Si at (0.146, 0.250, 0.817), Si at (0.202, 0.250, 0.424) and Os at (0.017, 0.750, 0.390).

***

## Sc2CdPd (PBE)

Data for a relaxed structure of Sc2CdPd.

For the theoretical density, the calculation gives 5.352 g/cm3. The density of states at the Fermi level comes out at 1.29 states/eV/atom. The energy relative to the elements is -0.101 eV/atom.

It has space group R-3m (No. 166, hexagonal axes), with a = 3.3502 Å, b = 3.3502 Å, c = 29.5646 Å, α = 90.00°, β = 90.00° and γ = 120.00°. The asymmetric unit holds Sc at (0.0000, 0.0000, 0.1029), Cd at (0.0000, 0.0000, 0.0000) and Pd at (0.0000, 0.0000, 0.5000).

***

## MnP2W (PBE)

Data for a relaxed structure of MnP2W.

For the theoretical density, the calculation gives 9.663 g/cm3. The density of states at the Fermi level comes out at 0.63 states/eV/atom. The energy relative to the elements is -0.165 eV/atom.

It has space group Pmm2 (No. 25), with a = 2.907 Å, b = 4.306 Å, c = 4.129 Å, α = 90.00°, β = 90.00° and γ = 90.00°. The asymmetric unit holds Mn at (0.000, 0.000, 0.000), P at (0.000, 0.500, 0.761), P at (0.500, 0.000, 0.538) and W at (0.500, 0.500, 0.252).

***

## NaVW2 (PBE)

Data for a relaxed structure of NaVW2.

For the theoretical density, the calculation gives 9.542 g/cm3. The density of states at the Fermi level comes out at 1.12 states/eV/atom. The energy relative to the elements is 0.366 eV/atom. Its offset from the most stable computed form is 100 meV/atom.

It has space group Pm (No. 6), with a = 3.125 Å, b = 3.125 Å, c = 15.741 Å, α = 90.00°, β = 90.10° and γ = 90.00°. The asymmetric unit holds Na at (0.000, 0.000, 0.000), Na at (0.493, 0.500, 0.200), V at (0.497, 0.500, 0.655), V at (0.499, 0.500, 0.841), W at (0.495, 0.500, 0.455), W at (0.995, 0.000, 0.358), W at (0.996, 0.000, 0.557) and W at (0.998, 0.000, 0.753).

***

## Dy11Ga9Pd4 (PBE)

Data for a relaxed structure of Dy11Ga9Pd4.

For the theoretical density, the calculation gives 8.883 g/cm3. The density of states at the Fermi level comes out at 0.57 states/eV/atom. The energy relative to the elements is -0.709 eV/atom.

It has space group Cmmm (No. 65), with a = 13.960 Å, b = 21.113 Å, c = 3.603 Å, α = 90.00°, β = 90.00° and γ = 90.00°. The asymmetric unit holds Dy at (0.000, 0.000, 0.000), Dy at (0.000, 0.165, 0.000), Dy at (0.000, 0.369, 0.000), Dy at (0.202, 0.500, 0.000), Dy at (0.237, 0.173, 0.000), Ga at (0.000, 0.500, 0.500), Ga at (0.103, 0.265, 0.500), Ga at (0.142, 0.072, 0.500) and Pd at (0.155, 0.399, 0.500).

***

## DyBP2O8 (PBE)

Data for a relaxed structure of DyBP2O8.

For the theoretical density, the calculation gives 4.796 g/cm3. The density of states at the Fermi level comes out at 0.00 states/eV/atom. The formation energy (no corrections) comes out at -26.69 eV/f.u.

It has space group P-3m1 (No. 164), with a = 4.8628 Å, b = 4.8628 Å, c = 6.1411 Å, α = 90.00°, β = 90.00° and γ = 120.00°. The asymmetric unit holds Dy at (0.0000, 0.0000, 0.0000), B at (0.0000, 0.0000, 0.5000), P at (0.3333, 0.6667, 0.2582), O at (0.1578, 0.3155, 0.3289) and O at (0.3333, 0.6667, 0.0074).